<w>
# PBE-GGA BaNiOs2, relaxed
data_BaNiOs2
_chemical_formula_sum 'Ba2 Ni2 Os4'
_space_group_name_H-M_alt 'C 1 2/m 1'
_space_group_IT_number 12
_cell_length_a 5.376
_cell_length_b 10.893
_cell_length_c 2.923
_cell_angle_alpha 90.00
_cell_angle_beta 120.07
_cell_angle_gamma 90.00
loop_
_space_group_symop_operation_xyz
'x,y,z'
'-x,-y,-z'
'-x,y,-z'
'x,-y,z'
'x+1/2,y+1/2,z'
'-x+1/2,-y+1/2,-z'
'-x+1/2,y+1/2,-z'
'x+1/2,-y+1/2,z'
loop_
_atom_site_label
_atom_site_type_symbol
_atom_site_fract_x
_atom_site_fract_y
_atom_site_fract_z
_atom_site_occupancy
Ba1 Ba 0.000 0.000 0.000 1
Ni1 Ni 0.000 0.500 0.000 1
Os1 Os 0.250 0.250 0.500 1
# - spin magnetization (μB/cell) = 0.00

<x>
# PBE-GGA BaNiOs2, relaxed
data_BaNiOs2
_chemical_formula_sum 'Ba1 Ni1 Os2'
_space_group_name_H-M_alt 'P m m m'
_space_group_IT_number 47
_cell_length_a 2.943
_cell_length_b 4.605
_cell_length_c 5.473
_cell_angle_alpha 90.00
_cell_angle_beta 90.00
_cell_angle_gamma 90.00
loop_
_space_group_symop_operation_xyz
'x,y,z'
'-x,-y,-z'
'-x,-y,z'
'x,y,-z'
'x,-y,-z'
'-x,y,z'
'-x,y,-z'
'x,-y,z'
loop_
_atom_site_label
_atom_site_type_symbol
_atom_site_fract_x
_atom_site_fract_y
_atom_site_fract_z
_atom_site_occupancy
Ba1 Ba 0.000 0.000 0.000 1
Ni1 Ni 0.500 0.500 0.000 1
Os1 Os 0.000 0.500 0.500 1
Os2 Os 0.500 0.000 0.500 1
# - spin magnetization (μB/cell) = 0.00

<y>
# PBE-GGA BaNiOs2, relaxed
data_BaNiOs2
_chemical_formula_sum 'Ba4 Ni4 Os8'
_space_group_name_H-M_alt 'F -4 3 m'
_space_group_IT_number 216
_space_group_name_Hall 'F -4 2 3'
_cell_length_a 6.631
_cell_length_b 6.631
_cell_length_c 6.631
_cell_angle_alpha 90.00
_cell_angle_beta 90.00
_cell_angle_gamma 90.00
loop_
_atom_site_label
_atom_site_type_symbol
_atom_site_fract_x
_atom_site_fract_y
_atom_site_fract_z
_atom_site_occupancy
Ba1 Ba 0.000 0.000 0.000 1
Ni1 Ni 0.250 0.250 0.250 1
Os1 Os 0.000 0.000 0.500 1
Os2 Os 0.250 0.250 0.750 1
# - spin magnetization (μB/cell) = 0.00

Which structure is the most stable? The one labeled <x>.

<w>
# PBE-GGA BaNiOs2, relaxed
data_BaNiOs2
_chemical_formula_sum 'Ba1 Ni1 Os2'
_space_group_name_H-M_alt 'P 4/m m m'
_space_group_IT_number 123
_space_group_name_Hall '-P 4 2'
_cell_length_a 3.045
_cell_length_b 3.045
_cell_length_c 8.070
_cell_angle_alpha 90.00
_cell_angle_beta 90.00
_cell_angle_gamma 90.00
loop_
_atom_site_label
_atom_site_type_symbol
_atom_site_fract_x
_atom_site_fract_y
_atom_site_fract_z
_atom_site_occupancy
Ba1 Ba 0.000 0.000 0.000 1
Ni1 Ni 0.000 0.000 0.500 1
Os1 Os 0.500 0.500 0.338 1
# - spin magnetization (μB/cell) = 0.00

<x>
# PBE-GGA BaNiOs2, relaxed
data_BaNiOs2
_chemical_formula_sum 'Ba1 Ni1 Os2'
_space_group_name_H-M_alt 'P 1 2/m 1'
_space_group_IT_number 10
_cell_length_a 4.312
_cell_length_b 4.308
_cell_length_c 5.215
_cell_angle_alpha 90.00
_cell_angle_beta 105.13
_cell_angle_gamma 90.00
loop_
_space_group_symop_operation_xyz
'x,y,z'
'-x,-y,-z'
'-x,y,-z'
'x,-y,z'
loop_
_atom_site_label
_atom_site_type_symbol
_atom_site_fract_x
_atom_site_fract_y
_atom_site_fract_z
_atom_site_occupancy
Ba1 Ba 0.000 0.000 0.000 1
Ni1 Ni 0.500 0.000 0.500 1
Os1 Os 0.277 0.500 0.603 1
# - spin magnetization (μB/cell) = 0.00

<y>
# PBE-GGA BaNiOs2, relaxed
data_BaNiOs2
_chemical_formula_sum 'Ba1 Ni1 Os2'
_space_group_name_H-M_alt 'P 4 m m'
_space_group_IT_number 99
_cell_length_a 3.154
_cell_length_b 3.154
_cell_length_c 7.718
_cell_angle_alpha 90.00
_cell_angle_beta 90.00
_cell_angle_gamma 90.00
loop_
_space_group_symop_operation_xyz
'x,y,z'
'-y,x,z'
'-x,-y,z'
'y,-x,z'
'-x,y,z'
'y,x,z'
'x,-y,z'
'-y,-x,z'
loop_
_atom_site_label
_atom_site_type_symbol
_atom_site_fract_x
_atom_site_fract_y
_atom_site_fract_z
_atom_site_occupancy
Ba1 Ba 0.000 0.000 0.000 1
Ni1 Ni 0.500 0.500 0.314 1
Os1 Os 0.000 0.000 0.487 1
Os2 Os 0.500 0.500 0.656 1
# - spin magnetization (μB/cell) = 0.00

Which structure is the most stable? The one labeled <y>.

<w>
# PBE-GGA BaNiOs2, relaxed
data_BaNiOs2
_chemical_formula_sum 'Ba4 Ni4 Os8'
_space_group_name_H-M_alt 'F m -3 m'
_space_group_IT_number 225
_space_group_name_Hall '-F 4 2 3'
_cell_length_a 6.641
_cell_length_b 6.641
_cell_length_c 6.641
_cell_angle_alpha 90.00
_cell_angle_beta 90.00
_cell_angle_gamma 90.00
loop_
_atom_site_label
_atom_site_type_symbol
_atom_site_fract_x
_atom_site_fract_y
_atom_site_fract_z
_atom_site_occupancy
Ba1 Ba 0.000 0.000 0.000 1
Ni1 Ni 0.000 0.000 0.500 1
Os1 Os 0.250 0.250 0.250 1
# - spin magnetization (μB/cell) = 12.77

<x>
# PBE-GGA BaNiOs2, relaxed
data_BaNiOs2
_chemical_formula_sum 'Ba1 Ni1 Os2'
_space_group_name_H-M_alt 'P 4/m m m'
_space_group_IT_number 123
_space_group_name_Hall '-P 4 2'
_cell_length_a 3.808
_cell_length_b 3.808
_cell_length_c 5.254
_cell_angle_alpha 90.00
_cell_angle_beta 90.00
_cell_angle_gamma 90.00
loop_
_atom_site_label
_atom_site_type_symbol
_atom_site_fract_x
_atom_site_fract_y
_atom_site_fract_z
_atom_site_occupancy
Ba1 Ba 0.000 0.000 0.000 1
Ni1 Ni 0.500 0.500 0.000 1
Os1 Os 0.000 0.500 0.500 1
# - spin magnetization (μB/cell) = 0.00

Which structure is the most stable? The one labeled <x>.

<w>
# PBE-GGA BaNiOs2, relaxed
data_BaNiOs2
_chemical_formula_sum 'Ba2 Ni2 Os4'
_space_group_name_H-M_alt 'C 1 m 1'
_space_group_IT_number 8
_cell_length_a 7.428
_cell_length_b 4.288
_cell_length_c 6.326
_cell_angle_alpha 90.00
_cell_angle_beta 112.96
_cell_angle_gamma 90.00
loop_
_space_group_symop_operation_xyz
'x,y,z'
'x,-y,z'
'x+1/2,y+1/2,z'
'x+1/2,-y+1/2,z'
loop_
_atom_site_label
_atom_site_type_symbol
_atom_site_fract_x
_atom_site_fract_y
_atom_site_fract_z
_atom_site_occupancy
Ba1 Ba 0.000 0.000 0.000 1
Ni1 Ni 0.310 0.500 0.427 1
Os1 Os 0.008 0.500 0.521 1
Os2 Os 0.188 0.000 0.562 1
# - spin magnetization (μB/cell) = 0.00

<x>
# PBE-GGA BaNiOs2, relaxed
data_BaNiOs2
_chemical_formula_sum 'Ba2 Ni2 Os4'
_space_group_name_H-M_alt 'I 4/m m m'
_space_group_IT_number 139
_space_group_name_Hall '-I 4 2'
_cell_length_a 3.746
_cell_length_b 3.746
_cell_length_c 11.087
_cell_angle_alpha 90.00
_cell_angle_beta 90.00
_cell_angle_gamma 90.00
loop_
_atom_site_label
_atom_site_type_symbol
_atom_site_fract_x
_atom_site_fract_y
_atom_site_fract_z
_atom_site_occupancy
Ba1 Ba 0.000 0.000 0.000 1
Ni1 Ni 0.000 0.000 0.500 1
Os1 Os 0.000 0.500 0.250 1
# - spin magnetization (μB/cell) = 0.00

Which structure is the most stable? The one labeled <w>.